Record 1
A relaxed Ca3Ga8Cu3 crystal, computed with PBE.

Theoretical density   5.6 g/cm³
Total magnetization   0.00 μB/atom
ΔH_f (0 K)   -377 meV per atom
Calculated volume   18.404 Å³ per atom

Cell: 4.288 8.156 8.156 Å, 72.90 74.76 74.76°
Positions (direct):
Cu1 0.000 0.189 0.811
Cu2 0.500 0.000 0.000
Cu3 0.000 0.811 0.189
Ga1 0.157 0.481 0.204
Ga2 0.157 0.204 0.481
Ga3 0.843 0.796 0.519
Ga4 0.373 0.338 0.916
Ga5 0.627 0.662 0.084
Ga6 0.627 0.084 0.662
Ga7 0.373 0.916 0.338
Ga8 0.843 0.519 0.796
Ca1 0.198 0.802 0.802
Ca2 0.802 0.198 0.198
Ca3 0.500 0.500 0.500

=====

Record 2
A relaxed CaTa2Ni crystal, computed with PBE.

Theoretical density   10.2 g/cm³
Total magnetization   0.00 μB/atom
ΔH_f (0 K)   685 meV per atom
Calculated volume   18.664 Å³ per atom

Cell: 5.649 5.649 2.785 Å, 90.00 90.00 122.83°
Positions (direct):
Ta1 0.500 0.500 0.000
Ta2 0.000 0.000 0.000
Ni1 0.000 0.500 0.500
Ca1 0.500 0.000 0.500